<w>
{
  "formula": "LiNiAsO4",
  "functional": "GGA+U",
  "state": "relaxed",
  "cell": [[10.4431, 0.0000, 0.0000], [0.0000, 5.9857, 0.0000], [0.0000, 0.0000, 4.9294]],
  "species": ["Li", "Li", "Li", "Li", "Ni", "Ni", "Ni", "Ni", "As", "As", "As", "As", "O", "O", "O", "O", "O", "O", "O", "O", "O", "O", "O", "O", "O", "O", "O", "O"],
  "fractional_positions": [[0.0000, 0.0000, 0.0000], [0.0000, 0.5000, 0.0000], [0.5000, 0.0000, 0.5000], [0.5000, 0.5000, 0.5000], [0.2280, 0.2500, 0.4933], [0.2720, 0.7500, 0.9933], [0.7280, 0.2500, 0.0067], [0.7720, 0.7500, 0.5067], [0.0939, 0.7500, 0.4355], [0.4061, 0.2500, 0.9355], [0.5939, 0.7500, 0.0645], [0.9061, 0.2500, 0.5645], [0.0574, 0.2500, 0.7049], [0.0964, 0.7500, 0.7818], [0.1700, 0.5280, 0.2727], [0.1700, 0.9720, 0.2727], [0.3300, 0.0280, 0.7727], [0.3300, 0.4720, 0.7727], [0.4036, 0.2500, 0.2818], [0.4426, 0.7500, 0.2049], [0.5574, 0.2500, 0.7951], [0.5964, 0.7500, 0.7182], [0.6700, 0.5280, 0.2273], [0.6700, 0.9720, 0.2273], [0.8300, 0.0280, 0.7273], [0.8300, 0.4720, 0.7273], [0.9036, 0.2500, 0.2182], [0.9426, 0.7500, 0.2951]]
}

***

<x>
{
  "formula": "LiNiAsO4",
  "functional": "GGA+U",
  "state": "relaxed",
  "cell": [[-2.8747, 2.9797, 4.0974], [2.8747, -2.9797, 4.0974], [2.8747, 2.9797, -4.0974]],
  "species": ["Li", "Li", "Ni", "Ni", "As", "As", "O", "O", "O", "O", "O", "O", "O", "O"],
  "fractional_positions": [[0.5000, 0.0000, 0.0000], [0.5000, 0.5000, 0.5000], [0.0000, 0.0000, 0.0000], [0.5000, 0.0000, 0.5000], [0.1188, 0.3688, 0.7500], [0.8812, 0.6312, 0.2500], [0.2381, 0.7471, 0.4910], [0.2438, 0.2529, 0.9910], [0.2462, 0.2511, 0.5049], [0.2462, 0.7413, 0.9951], [0.7538, 0.2587, 0.0049], [0.7538, 0.7489, 0.4951], [0.7562, 0.7471, 0.0090], [0.7619, 0.2529, 0.5090]]
}

***

Looking at the structures above, which would you pick as the most stable? I would pick <w>.